1.
Sc3In2Hg6 | PBE | optimized geometry

a b c (Å): 4.4322 4.4322 28.8046
angles (deg): 90.00 90.00 90.00
With the nearest neighbours (Å) after each atom.
Space group I4/mmm (No. 139)
Unique sites:
Sc 0.0000 0.0000 0.0000 [2 per cell]  8 Hg 2.96
Sc 0.0000 0.0000 0.1424 [4 per cell]  5 Hg 2.90-3.08, 4 In 3.14
In 0.0000 0.0000 0.3494 [4 per cell]  5 Hg 3.06-3.25, 4 Sc 3.14
Hg 0.0000 0.0000 0.2432 [4 per cell]  1 Sc 2.90, 1 In 3.06, 4 Hg 3.16
Hg 0.0000 0.5000 0.0681 [8 per cell]  4 Sc 2.96-3.08, 4 Hg 3.13, 2 In 3.25



2.
Ce2Co3P4Ru | PBE | optimized geometry

a b c (Å): 3.9988 3.9988 9.1923
angles (deg): 90.00 90.00 90.00
With the nearest neighbours (Å) after each atom.
Space group P-4m2 (No. 115)
Unique sites:
Ce 0.0000 0.5000 0.2409 [2 per cell]  8 P 2.98-3.03, 7 Co 3.07-3.23, 2 Ru 3.11
Co 0.0000 0.5000 0.8898 [2 per cell]  5 P 2.24-2.30
Co 0.5000 0.5000 0.5000 [1 per cell]  4 P 2.38
P 0.0000 0.0000 0.0000 [1 per cell]  4 Co 2.24
P 0.0000 0.5000 0.6398 [2 per cell]  3 Co 2.30-2.38, 2 Ru 2.38
P 0.5000 0.5000 0.0000 [1 per cell]  4 Co 2.24
Ru 0.0000 0.0000 0.5000 [1 per cell]  4 P 2.38



In order of appearance, formation enthalpy at 0 K = -1.131, -10.519 eV/f.u..